This record from Alexandria via LeMat-Bulk describes crystalline KYSN2 at its relaxed geometry. The functional is PBE.

Computed properties:
excess energy over the best structure of this formula in the dataset	0.000	eV/atom
VASP energy	-0.2032	Ha/atom
space-group type	P4/mmm (123)
D(E_F)	1.69	states/eV/f.u.

abc: 4.7148 4.7148 5.3793
angles: 90.00 90.00 90.00
Each line ends with the local moment (μB).
Sites, in units of the cell vectors:
N: 0.5000 0.0000 0.0000  1.17
N: 0.0000 0.5000 0.0000  1.17
Y: 0.0000 0.0000 0.0000  -0.02
S: 0.0000 0.0000 0.5000  0.29
K: 0.5000 0.5000 0.5000  0.00

---

This record from Alexandria via LeMat-Bulk describes crystalline KYS2N at its relaxed geometry. The functional is PBE.

Computed properties:
excess energy over the best structure of this formula in the dataset	1.260	eV/atom
VASP energy	-0.1484	Ha/atom
space-group type	P4/mmm (123)
D(E_F)	2.56	states/eV/f.u.

abc: 5.2650 5.2650 4.2285
angles: 90.00 90.00 90.00
Each line ends with the local moment (μB).
Sites, in units of the cell vectors:
N: 0.0000 0.0000 0.5000  0.98
S: 0.0000 0.5000 0.0000  0.21
S: 0.5000 0.0000 0.0000  0.21
K: 0.0000 0.0000 0.0000  0.05
Y: 0.5000 0.5000 0.5000  -0.05

---

This record from Alexandria via LeMat-Bulk describes crystalline KZnS2N at its relaxed geometry. The functional is PBE.

Computed properties:
excess energy over the best structure of this formula in the dataset	1.163	eV/atom
VASP energy	-0.0786	Ha/atom
space-group type	P4/mmm (123)
D(E_F)	5.63	states/eV/f.u.

abc: 6.0710 6.0710 5.3815
angles: 90.00 90.00 90.00
Each line ends with the local moment (μB).
Sites, in units of the cell vectors:
S: 0.0000 0.5000 0.0000  0.84
S: 0.5000 0.0000 0.0000  0.84
N: 0.0000 0.0000 0.5000  1.83
K: 0.0000 0.0000 0.0000  0.02
Zn: 0.5000 0.5000 0.5000  0.18

---

This record from Alexandria via LeMat-Bulk describes crystalline KZnS2N at its relaxed geometry. The functional is PBE.

Computed properties:
excess energy over the best structure of this formula in the dataset	0.000	eV/atom
VASP energy	-0.1213	Ha/atom
space-group type	P4/mmm (123)
D(E_F)	4.08	states/eV/f.u.

abc: 5.0009 4.0854 5.0009
angles: 90.00 90.00 90.00
Each line ends with the local moment (μB).
Sites, in units of the cell vectors:
S: 0.0000 0.0000 0.5000  0.46
S: 0.5000 0.0000 0.0000  0.43
K: 0.5000 0.5000 0.5000  0.01
N: 0.0000 0.5000 0.0000  1.23
Zn: 0.0000 0.0000 0.0000  0.04

---

This record from Alexandria via LeMat-Bulk describes crystalline KZrS2N at its relaxed geometry. The functional is PBE.

Computed properties:
excess energy over the best structure of this formula in the dataset	2.129	eV/atom
VASP energy	-0.1395	Ha/atom
space-group type	P4/mmm (123)
D(E_F)	4.82	states/eV/f.u.

abc: 5.0836 5.0836 3.9656
angles: 90.00 90.00 90.00
Sites, in units of the cell vectors:
K: 0.0000 0.0000 0.0000
S: 0.5000 0.0000 0.0000
S: 0.0000 0.5000 0.0000
Zr: 0.5000 0.5000 0.5000
N: 0.0000 0.0000 0.5000

---

This record from Alexandria via LeMat-Bulk describes crystalline KZrS2N at its relaxed geometry. The functional is PBE.

Computed properties:
excess energy over the best structure of this formula in the dataset	0.000	eV/atom
VASP energy	-0.2177	Ha/atom
space-group type	P4/mmm (123)
D(E_F)	2.05	states/eV/f.u.

abc: 5.1267 5.1267 4.3398
angles: 90.00 90.00 90.00
Each line ends with the local moment (μB).
Sites, in units of the cell vectors:
S: 0.0000 0.5000 0.0000  0.23
S: 0.5000 0.0000 0.0000  0.23
Zr: 0.0000 0.0000 0.0000  -0.10
K: 0.5000 0.5000 0.5000  0.00
N: 0.0000 0.0000 0.5000  0.89

---

This record from Alexandria via LeMat-Bulk describes crystalline KSbN2 at its relaxed geometry. The functional is PBE.

Computed properties:
VASP energy	-0.1937	Ha/atom
space-group type	I-42d (122)
D(E_F)	0.00	states/eV/f.u.

abc: 6.0674 6.0674 5.8625
angles: 58.84 58.84 90.00
Sites, in units of the cell vectors:
N: 0.7282 0.1250 0.2500
N: 0.8750 0.9782 0.7500
N: 0.3750 0.2718 0.7500
N: 0.0218 0.6250 0.2500
Sb: 0.7500 0.2500 0.5000
Sb: 0.0000 0.0000 0.0000
K: 0.5000 0.5000 0.0000
K: 0.2500 0.7500 0.5000

---

This record from Alexandria via LeMat-Bulk describes crystalline K4Sb3N4 at its relaxed geometry. The functional is PBE.

Computed properties:
VASP energy	-0.1733	Ha/atom
space-group type	C2/m (12)
D(E_F)	4.99	states/eV/f.u.

abc: 6.2499 5.9489 13.3428
angles: 120.37 103.54 90.00
Each line ends with the local moment (μB).
Sites, in units of the cell vectors:
Sb: 0.0638 0.1546 0.1277  -0.02
Sb: 0.9362 0.8454 0.8723  -0.02
Sb: 0.0000 0.5000 0.0000  0.00
N: 0.7185 0.9984 0.4370  0.11
N: 0.3307 0.0524 0.6614  0.14
N: 0.2815 0.0016 0.5630  0.11
N: 0.6693 0.9476 0.3386  0.14
K: 0.1586 0.8553 0.3171  0.01
K: 0.4530 0.1414 0.9060  0.00
K: 0.8414 0.1447 0.6829  0.01
K: 0.5470 0.8586 0.0940  0.00